# 1
First-principles (PBE) data for AgRhAu after structural relaxation, as listed in the Alexandria database.

## Properties
* N(E_F): 1.260 states/eV/atom
* polymorph energy (0 for the lowest one): 122.5 meV/atom
* ρ: 13.5 g/cm³

Cell: 7.622 7.384 2.795 Å, 84.10 74.50 21.40°
Last column: magnetic moment on the atom in μB.
Fractional coordinates of all 3 atoms:
1 Ag 0.003 0.003 0.997  0.01
2 Au 0.331 0.331 0.669  0.01
3 Rh 0.666 0.666 0.334  0.46

---

# 2
First-principles (PBE) data for AgRh3Au after structural relaxation, as listed in the Alexandria database.

## Properties
* N(E_F): 2.736 states/eV/atom
* polymorph energy (0 for the lowest one): 0.0 meV/atom
* ρ: 8.8 g/cm³

Cell: 4.879 4.879 4.879 Å, 90.00 90.00 90.00°
Last column: magnetic moment on the atom in μB.
Fractional coordinates of all 5 atoms:
1 Rh 0.000 0.000 0.500  1.11
2 Rh 0.000 0.500 0.000  0.65
3 Rh 0.500 0.000 0.000  0.46
4 Ag 0.500 0.500 0.500  0.00
5 Au 0.000 0.000 0.000  0.20

---

# 3
First-principles (PBE) data for AgRhAu after structural relaxation, as listed in the Alexandria database.

## Properties
* N(E_F): 0.854 states/eV/atom
* polymorph energy (0 for the lowest one): 0.0 meV/atom
* ρ: 13.6 g/cm³

Cell: 2.872 3.862 11.347 Å, 109.83 120.38 89.96°
Fractional coordinates of all 6 atoms:
1 Au 0.733 0.991 0.741
2 Au 0.267 0.009 0.259
3 Rh 0.883 0.317 0.567
4 Rh 0.117 0.683 0.433
5 Ag 0.425 0.338 0.088
6 Ag 0.575 0.662 0.912